1.
Compound: Sm4Bi2Pd
Source: Alexandria
Functional: PBE
Structure: relaxed

abc: 8.2914 8.2914 7.5917
angles: 115.74 115.74 30.72
Positions (direct):
Sm 0.1125 0.1125 0.4269
Sm 0.3837 0.3837 0.0208
Sm 0.6163 0.6163 0.9792
Sm 0.8875 0.8875 0.5731
Bi 0.2666 0.2666 0.2668
Bi 0.7334 0.7334 0.7332
Pd 0.0000 0.0000 0.0000

Properties
Crystal system: monoclinic
Energy of formation from the pure elements in meV per atom: -563.6

---

2.
Compound: Fe4MoPd
Source: Alexandria
Functional: PBE
Structure: relaxed

abc: 4.7290 4.7290 4.7290
angles: 60.00 60.00 60.00
Positions (direct):
Fe 0.1247 0.1247 0.1247
Fe 0.1247 0.1247 0.6260
Fe 0.1247 0.6260 0.1247
Fe 0.6260 0.1247 0.1247
Mo 0.5000 0.5000 0.5000
Pd 0.7500 0.7500 0.7500

Properties
Crystal system: cubic
Energy of formation from the pure elements in meV per atom: -14.2

---

3.
Compound: Sb3Br2F16
Source: Alexandria
Functional: PBE
Structure: relaxed

abc: 7.8618 7.8618 14.8030
angles: 94.55 94.55 60.01
Positions (direct):
Sb 0.0000 0.5000 0.5000
Sb 0.0107 0.7301 0.8784
Sb 0.2699 0.9893 0.6216
Sb 0.5000 0.0000 0.0000
Sb 0.7301 0.0107 0.3784
Sb 0.9893 0.2699 0.1216
Br 0.2625 0.5967 0.2048
Br 0.4033 0.7375 0.2952
Br 0.5967 0.2625 0.7048
Br 0.7375 0.4033 0.7952
F 0.0100 0.9719 0.8788
F 0.0281 0.9900 0.6212
F 0.0347 0.4850 0.1089
F 0.1213 0.2117 0.5244
F 0.1669 0.4334 0.4025
F 0.1728 0.2031 0.7091
F 0.1833 0.6544 0.9826
F 0.1915 0.5177 0.5796
F 0.2031 0.1728 0.2091
F 0.2093 0.5932 0.7943
F 0.2117 0.1213 0.0244
F 0.3456 0.8167 0.5174
F 0.4068 0.7907 0.7057
F 0.4334 0.1669 0.9025
F 0.4823 0.8085 0.9204
F 0.4850 0.0347 0.6089
F 0.5150 0.9653 0.3911
F 0.5177 0.1915 0.0796
F 0.5666 0.8331 0.0975
F 0.5932 0.2093 0.2943
F 0.6544 0.1833 0.4826
F 0.7883 0.8787 0.9756
F 0.7907 0.4068 0.2057
F 0.7969 0.8272 0.7909
F 0.8085 0.4823 0.4204
F 0.8167 0.3456 0.0174
F 0.8272 0.7969 0.2909
F 0.8331 0.5666 0.5975
F 0.8787 0.7883 0.4756
F 0.9653 0.5150 0.8911
F 0.9719 0.0100 0.3788
F 0.9900 0.0281 0.1212

Properties
Crystal system: monoclinic
E in eV per atom: -4.174

---

4.
Compound: Cs2CoNiS4
Source: Alexandria
Functional: PBE
Structure: relaxed

abc: 14.0462 12.5087 7.4542
angles: 85.47 62.59 31.94
Positions (direct):
Cs 0.0523 0.0523 0.6977
Cs 0.3023 0.3023 0.9477
Cs 0.6977 0.6977 0.0523
Cs 0.9477 0.9477 0.3023
Co 0.3750 0.3750 0.3750
Co 0.6250 0.6250 0.6250
Ni 0.1250 0.1250 0.1250
Ni 0.8750 0.8750 0.8750
S 0.0011 0.3460 0.4198
S 0.2669 0.5802 0.6540
S 0.3460 0.0011 0.7331
S 0.4198 0.7331 0.0011
S 0.5802 0.2669 0.9989
S 0.6540 0.9989 0.2669
S 0.7331 0.4198 0.3460
S 0.9989 0.6540 0.5802

Properties
Crystal system: orthorhombic
E in eV per atom: -4.561

---

5.
Compound: PmScTlZn
Source: Alexandria
Functional: PBE
Structure: relaxed

abc: 3.5971 3.5971 7.3560
angles: 90.00 90.00 90.00
Positions (direct):
Pm 0.0000 0.0000 0.0000
Sc 0.0000 0.0000 0.5441
Tl 0.5000 0.5000 0.2983
Zn 0.5000 0.5000 0.7387

Properties
E above lowest polymorph in eV/f.u.: 0.000
Crystal system: tetragonal
Energy of formation from the pure elements in meV per atom: -336.3

---

6.
Compound: TaAl2Te8
Source: Alexandria
Functional: PBE
Structure: relaxed

abc: 8.2565 8.2565 6.0633
angles: 99.46 99.46 90.88
Positions (direct):
Ta 0.0000 0.0000 0.0000
Al 0.2144 0.2144 0.6870
Al 0.7856 0.7856 0.3130
Te 0.0985 0.7502 0.2644
Te 0.2285 0.2285 0.2494
Te 0.2498 0.9015 0.7356
Te 0.4465 0.4465 0.7674
Te 0.5535 0.5535 0.2326
Te 0.7502 0.0985 0.2644
Te 0.7715 0.7715 0.7506
Te 0.9015 0.2498 0.7356

Properties
Crystal system: monoclinic
E in eV per atom: -4.184